Density functional theory data (PBE) for a relaxed structure of Cd4Ni5.

The structure in POSCAR format:
```
Cd4Ni5
1.0
-1.035 -5.710 5.050
4.225 -0.267 6.423
-3.659 2.898 2.528
Ni Cd
10 8
direct
0.684 0.000 0.250
0.684 0.316 0.750
0.333 0.333 0.500
0.667 0.667 0.500
0.316 0.684 0.250
0.316 0.000 0.750
0.333 0.333 0.000
0.000 0.684 0.750
0.667 0.667 0.000
0.000 0.316 0.250
0.359 0.000 0.250
0.359 0.641 0.750
0.641 0.000 0.750
0.000 0.359 0.750
0.000 0.641 0.250
0.000 0.000 0.500
0.641 0.359 0.250
0.000 0.000 0.000
```

Computed properties:
- calculated density (Mg/m³) = 9.07
- density of states at the Fermi level (states/eV per cell) = 12.31
- raw total energy (eV/atom) = -3.43
- SG = P6_3/mcm

=====

Density functional theory data (PBE) for a relaxed structure of RbLaH6Au2.

The structure in POSCAR format:
```
RbLaH6Au2
1.0
-2.868 -1.174 6.208
4.328 -5.402 -0.476
5.252 1.747 4.550
H Rb La Au
12 2 2 4
direct
0.179 0.238 0.990
0.238 0.179 0.490
0.618 0.426 0.564
0.426 0.618 0.064
0.914 0.418 0.331
0.821 0.762 0.010
0.418 0.914 0.831
0.382 0.574 0.436
0.762 0.821 0.510
0.582 0.086 0.169
0.086 0.582 0.669
0.574 0.382 0.936
0.831 0.169 0.750
0.169 0.831 0.250
0.423 0.577 0.750
0.577 0.423 0.250
0.956 0.669 0.843
0.669 0.956 0.343
0.044 0.331 0.157
0.331 0.044 0.657
```

Computed properties:
- calculated density (Mg/m³) = 6.54
- raw total energy (eV/atom) = -3.54
- SG = C2/c

=====

Density functional theory data (PBE) for a relaxed structure of ErMg6.

The structure in POSCAR format:
```
ErMg6
1.0
-0.134 -5.562 -2.134
-2.371 -3.218 8.534
-11.733 1.340 -2.754
Mg Er
24 4
direct
0.250 0.903 0.520
0.750 0.945 0.084
0.250 0.642 0.351
0.250 0.555 0.584
0.750 0.692 0.254
0.511 0.063 0.692
0.750 0.192 0.246
0.989 0.563 0.808
0.250 0.308 0.746
0.250 0.403 0.980
0.750 0.358 0.649
0.511 0.563 0.808
0.250 0.808 0.754
0.489 0.937 0.308
0.250 0.142 0.149
0.489 0.437 0.192
0.250 0.055 0.916
0.750 0.097 0.480
0.011 0.937 0.308
0.750 0.597 0.020
0.989 0.063 0.692
0.011 0.437 0.192
0.750 0.858 0.851
0.750 0.445 0.416
0.750 0.247 0.932
0.250 0.253 0.432
0.250 0.753 0.068
0.750 0.747 0.568
```

Computed properties:
- calculated density (Mg/m³) = 3.05
- density of states at the Fermi level (states/eV per cell) = 15.60
- raw total energy (eV/atom) = -2.00
- SG = Pnma

=====

Density functional theory data (PBE) for a relaxed structure of B2OsSe.

The structure in POSCAR format:
```
B2OsSe
1.0
-0.879 4.617 -1.390
-3.673 0.274 3.233
0.792 4.038 4.273
Os Se B
2 2 4
direct
0.750 0.250 0.500
0.000 0.000 0.000
0.500 0.500 0.000
0.250 0.750 0.500
0.875 0.898 0.750
0.102 0.625 0.250
0.648 0.125 0.250
0.375 0.352 0.750
```

Computed properties:
- calculated density (Mg/m³) = 8.35
- density of states at the Fermi level (states/eV per cell) = 0.18
- raw total energy (eV/atom) = -6.49
- SG = I-42d
- uncorrected formation energy (eV per atom) = 0.53

=====

Density functional theory data (PBE) for a relaxed structure of RbFe4Sb12.

The structure in POSCAR format:
```
RbFe4Sb12
1.0
-4.591 6.180 2.216
-4.657 -6.055 -2.415
4.461 -2.376 6.216
Rb Fe Sb
1 4 12
direct
0.000 0.000 0.000
0.500 0.500 0.500
0.000 0.500 0.000
0.000 0.000 0.500
0.500 0.000 0.000
0.338 0.175 0.837
0.662 0.499 0.837
0.837 0.338 0.175
0.175 0.837 0.338
0.825 0.163 0.662
0.501 0.163 0.338
0.163 0.662 0.825
0.837 0.662 0.499
0.163 0.338 0.501
0.499 0.837 0.662
0.662 0.825 0.163
0.338 0.501 0.163
```

Computed properties:
- calculated density (Mg/m³) = 7.43
- density of states at the Fermi level (states/eV per cell) = 13.88
- raw total energy (eV/atom) = -5.03
- SG = Im-3
- uncorrected formation energy (eV per atom) = -0.08

=====

Density functional theory data (PBE) for a relaxed structure of CePm2Dy5.

The structure in POSCAR format:
```
CePm2Dy5
1.0
9.104 0.000 -3.895
-1.006 5.946 -2.352
-0.818 -1.776 10.675
Pm Dy Ce
4 10 2
direct
0.827 0.547 0.163
0.664 0.953 0.837
0.336 0.047 0.163
0.173 0.453 0.837
0.943 0.750 0.000
0.508 0.560 0.198
0.288 0.867 0.397
0.108 0.367 0.397
0.690 0.060 0.198
0.712 0.133 0.603
0.057 0.250 0.000
0.310 0.940 0.802
0.892 0.633 0.603
0.492 0.440 0.802
0.500 0.500 0.500
0.000 0.000 0.500
```

Computed properties:
- calculated density (Mg/m³) = 8.03
- density of states at the Fermi level (states/eV per cell) = 30.40
- raw total energy (eV/atom) = -4.62
- SG = C2/c